Version A
This record from the Alexandria database describes an optimized crystal structure of PAuBr2. The functional is PBE.

## Properties
- Size of the total moment: 1.2 μB/f.u.

Lattice parameters (Å, degrees): 6.449 6.449 6.449 148.55 98.43 90.02
Sites, in units of the cell vectors:
Au (0.284, 0.784, 0.500)
Br (0.683, 0.183, 0.500)
P (0.460, 0.460, 0.000)
Br (0.072, 0.072, 0.000)

***

Version B
This record from the Alexandria database describes an optimized crystal structure of PAuBr2. The functional is PBE.

## Properties
- Size of the total moment: 0.0 μB/f.u.

Lattice parameters (Å, degrees): 4.953 4.953 4.953 60.00 60.00 60.00
Sites, in units of the cell vectors:
Au (0.500, 0.500, 0.500)
P (0.000, 0.000, 0.000)
Br (0.750, 0.750, 0.750)
Br (0.250, 0.250, 0.250)

***

How do the structures above rank in stability at the extremes? version A comes first and version B comes last.